(1)
{"formula": "RbSb3N", "functional": "PBE", "state": "relaxed", "e_above_lowest_polymorph_kj_per_mol_atoms": 214.5, "sg": "Pm-3m, No. 221", "crystal_system": "cubic", "lattice": [[6.078, 0.000, 0.000], [0.000, 6.078, 0.000], [0.000, 0.000, 6.078]], "species": ["Sb", "Sb", "Sb", "Rb", "N"], "fractional_positions": [[0.000, 0.000, 0.500], [0.500, 0.000, 0.000], [0.000, 0.500, 0.000], [0.000, 0.000, 0.000], [0.500, 0.500, 0.500]]}

(2)
{"formula": "RbSb2SeN", "functional": "PBE", "state": "relaxed", "sg": "P4/mmm, No. 123", "crystal_system": "tetragonal", "final_energy_ev_per_atom": -1.606, "lattice": [[-4.862, 2.865, 2.494], [-3.418, -2.610, -3.665], [-0.706, -4.662, 3.979]], "species": ["Sb", "Sb", "Se", "N", "Rb"], "fractional_positions": [[0.000, 0.000, 0.500], [0.500, 0.000, 0.000], [0.000, 0.500, 0.000], [0.500, 0.500, 0.500], [0.000, 0.000, 0.000]]}

(3)
{"formula": "RbSbSe2N", "functional": "PBE", "state": "relaxed", "e_above_lowest_polymorph_kj_per_mol_atoms": 130.4, "sg": "P4/mmm, No. 123", "crystal_system": "tetragonal", "lattice": [[-5.093, -2.989, 0.515], [2.322, -3.194, 4.421], [-1.617, 3.315, 3.244]], "species": ["Rb", "Se", "Se", "N", "Sb"], "fractional_positions": [[0.000, 0.000, 0.000], [0.500, 0.000, 0.000], [0.000, 0.500, 0.000], [0.000, 0.000, 0.500], [0.500, 0.500, 0.500]]}

(4)
{"formula": "RbSbSe2N", "functional": "PBE", "state": "relaxed", "e_above_lowest_polymorph_kj_per_mol_atoms": 0.0, "sg": "P4/mmm, No. 123", "crystal_system": "tetragonal", "lattice": [[-5.341, -1.287, 0.640], [0.449, -3.832, -3.963], [1.057, -2.921, 2.944]], "species": ["Sb", "N", "Se", "Se", "Rb"], "fractional_positions": [[0.000, 0.000, 0.000], [0.000, 0.000, 0.500], [0.000, 0.500, 0.000], [0.500, 0.000, 0.000], [0.500, 0.500, 0.500]]}

(5)
{"formula": "RbTiSbN2", "functional": "PBE", "state": "relaxed", "sg": "P4/mmm, No. 123", "crystal_system": "tetragonal", "final_energy_ev_per_atom": -5.314, "lattice": [[4.299, 0.000, 0.000], [0.000, 5.333, 0.000], [0.000, 0.000, 4.299]], "species": ["Rb", "Sb", "N", "N", "Ti"], "fractional_positions": [[0.500, 0.500, 0.500], [0.000, 0.500, 0.000], [0.000, 0.000, 0.500], [0.500, 0.000, 0.000], [0.000, 0.000, 0.000]]}

(6)
{"formula": "Rb2TlSbN", "functional": "PBE", "state": "relaxed", "sg": "P4/mmm, No. 123", "crystal_system": "tetragonal", "final_energy_ev_per_atom": -3.075, "lattice": [[-3.937, -4.438, -2.030], [0.835, -2.350, 3.518], [-4.727, 2.819, 3.005]], "species": ["Sb", "Rb", "Rb", "Tl", "N"], "fractional_positions": [[0.000, 0.500, 0.000], [0.500, 0.000, 0.000], [0.000, 0.000, 0.500], [0.500, 0.500, 0.500], [0.000, 0.000, 0.000]]}

(7)
{"formula": "RbYSbN2", "functional": "PBE", "state": "relaxed", "sg": "P4/mmm, No. 123", "crystal_system": "tetragonal", "final_energy_ev_per_atom": -4.221, "lattice": [[4.595, 0.000, 0.000], [0.000, 5.556, 0.000], [0.000, 0.000, 4.595]], "species": ["N", "N", "Y", "Rb", "Sb"], "fractional_positions": [[0.500, 0.000, 0.000], [0.000, 0.000, 0.500], [0.000, 0.500, 0.000], [0.500, 0.500, 0.500], [0.000, 0.000, 0.000]]}

(8)
{"formula": "RbZrSb2N", "functional": "PBE", "state": "relaxed", "sg": "P4/mmm, No. 123", "crystal_system": "tetragonal", "final_energy_ev_per_atom": -3.326, "lattice": [[5.705, 0.000, 0.000], [0.000, 4.306, 0.000], [0.000, 0.000, 5.705]], "species": ["Sb", "Sb", "Zr", "Rb", "N"], "fractional_positions": [[0.500, 0.000, 0.000], [0.000, 0.000, 0.500], [0.500, 0.500, 0.500], [0.000, 0.000, 0.000], [0.000, 0.500, 0.000]]}

(9)
{"formula": "RbScN3", "functional": "PBE", "state": "relaxed", "sg": "Pm-3m, No. 221", "crystal_system": "cubic", "final_energy_ev_per_atom": -5.693, "lattice": [[4.402, 0.000, 0.000], [0.000, 4.402, 0.000], [0.000, 0.000, 4.402]], "species": ["N", "N", "N", "Rb", "Sc"], "fractional_positions": [[0.000, 0.500, 0.000], [0.500, 0.000, 0.000], [0.000, 0.000, 0.500], [0.500, 0.500, 0.500], [0.000, 0.000, 0.000]]}

(10)
{"formula": "Rb3ScN", "functional": "PBE", "state": "relaxed", "e_above_lowest_polymorph_kj_per_mol_atoms": 0.0, "sg": "Pm-3m, No. 221", "crystal_system": "cubic", "lattice": [[-0.840, -1.387, 5.803], [-4.622, -3.555, -1.519], [3.773, -4.663, -0.568]], "species": ["Rb", "Rb", "Rb", "Sc", "N"], "fractional_positions": [[0.000, 0.000, 0.500], [0.500, 0.000, 0.000], [0.000, 0.500, 0.000], [0.500, 0.500, 0.500], [0.000, 0.000, 0.000]]}

(11)
{"formula": "Rb2ScN", "functional": "PBE", "state": "relaxed", "sg": "I-42d, No. 122", "crystal_system": "tetragonal", "final_energy_ev_per_atom": -4.121, "lattice": [[13.087, 0.000, 0.000], [0.000, 13.087, 0.000], [6.543, 6.543, 2.058]], "species": ["Sc", "Sc", "N", "N", "Rb", "Rb", "Rb", "Rb"], "fractional_positions": [[0.750, 0.250, 0.500], [0.000, 0.000, 0.000], [0.500, 0.500, 0.000], [0.250, 0.750, 0.500], [0.316, 0.625, 0.250], [0.375, 0.566, 0.750], [0.875, 0.684, 0.750], [0.434, 0.125, 0.250]]}

(12)
{"formula": "RbSc2N", "functional": "PBE", "state": "relaxed", "sg": "R-3m, No. 166", "crystal_system": "trigonal", "final_energy_ev_per_atom": -5.285, "lattice": [[2.235, 0.000, 10.782], [-1.117, 1.935, 10.782], [-1.117, -1.935, 10.782]], "species": ["N", "Rb", "Sc", "Sc"], "fractional_positions": [[0.000, 0.000, 0.000], [0.500, 0.500, 0.500], [0.057, 0.057, 0.057], [0.943, 0.943, 0.943]]}

(13)
{"formula": "RbSc2N", "functional": "PBE", "state": "relaxed", "sg": "Fd-3m, No. 227", "crystal_system": "cubic", "final_energy_ev_per_atom": -5.828, "lattice": [[-0.226, 6.351, -2.713], [-6.595, 0.608, 1.973], [-1.959, 5.357, 3.904]], "species": ["Sc", "Sc", "Sc", "Sc", "Rb", "Rb", "N", "N"], "fractional_positions": [[0.375, 0.125, 0.250], [0.375, 0.625, 0.750], [0.375, 0.625, 0.250], [0.875, 0.625, 0.750], [0.750, 0.250, 0.500], [0.000, 0.000, 0.000], [0.250, 0.750, 0.500], [0.500, 0.500, 0.000]]}

(14)
{"formula": "RbScN3", "functional": "PBE", "state": "relaxed", "sg": "Pm-3m, No. 221", "crystal_system": "cubic", "final_energy_ev_per_atom": -4.003, "lattice": [[-2.437, -3.107, 1.252], [3.322, -2.045, 1.392], [-0.425, 1.823, 3.695]], "species": ["N", "N", "N", "Rb", "Sc"], "fractional_positions": [[0.000, 0.500, 0.000], [0.500, 0.000, 0.000], [0.000, 0.000, 0.500], [0.000, 0.000, 0.000], [0.500, 0.500, 0.500]]}